5
Lattice="11.0698 -1.3142 0.0184 11.0698 1.3142 0.0184 10.9100 0.0000 2.2891" Properties=species:S:1:pos:R:3 comment="Mn3Mo2 (PBE, optimized geometry)" spacegroup="R-3m (166)" dos_at_fermi_per_ev_cell=6.68 crystal_system=trigonal de_polymorph_mev_per_atom=128 total_magnetization_mub_per_fu=1.53 pbc="T T T"
Mn 0.0000 0.0000 0.0000
Mn 26.6117 0.0000 1.8729
Mn 6.4379 0.0000 0.4531
Mo 19.7340 0.0000 1.3888
Mo 13.3156 0.0000 0.9371

4
Lattice="-0.7172 0.3696 -2.6822 0.7248 -2.5451 0.9180 -7.9602 -1.5776 1.9109" Properties=species:S:1:pos:R:3 comment="MnMo (PBE, optimized geometry)" spacegroup="P6_3/mmc (194)" dos_at_fermi_per_ev_cell=5.01 crystal_system=hexagonal dft_energy_ev_per_atom=-9.630 total_magnetization_mub_per_fu=1.82 pbc="T T T"
Mn -1.7459 -1.9679 0.1956
Mn -6.2067 -1.7851 -0.0490
Mo 0.0000 0.0000 0.0000
Mo -3.9801 -0.7888 0.9555